1.
! La7ThIn4, relaxed, DFT PBE; values from VASP
&SYSTEM
  ibrav = 0, nat = 12, ntyp = 3
/
ATOMIC_SPECIES
La 138.91 La.upf
Th 232.04 Th.upf
In 114.82 In.upf
CELL_PARAMETERS angstrom
7.381 -3.049 0.000
7.381 3.049 0.000
-5.980 0.000 9.007
ATOMIC_POSITIONS crystal
La 0.000 0.000 0.000
La 0.224 0.224 0.665
La 0.301 0.301 0.111
La 0.440 0.440 0.622
La 0.560 0.560 0.378
La 0.699 0.699 0.889
La 0.776 0.776 0.335
Th 0.500 0.500 0.000
In 0.051 0.051 0.745
In 0.187 0.187 0.337
In 0.813 0.813 0.663
In 0.949 0.949 0.255
! Energy relative to the elements   -174 kJ/mol of formula units
! E_tot   -4.56 eV per atom

---

2.
! LaThTlIn, relaxed, DFT PBE; values from VASP
&SYSTEM
  ibrav = 0, nat = 4, ntyp = 4
/
ATOMIC_SPECIES
La 138.91 La.upf
Th 232.04 Th.upf
Tl 204.38 Tl.upf
In 114.82 In.upf
CELL_PARAMETERS angstrom
4.141 0.000 0.000
0.000 4.141 0.000
0.000 0.000 7.041
ATOMIC_POSITIONS crystal
La 0.000 0.000 0.000
Th 0.000 0.000 0.496
Tl 0.500 0.500 0.739
In 0.500 0.500 0.260
! Energy relative to the elements   -110 kJ/mol of formula units
! E_tot   -4.65 eV per atom

---

3.
! LaThTlIn, relaxed, DFT PBE; values from VASP
&SYSTEM
  ibrav = 0, nat = 4, ntyp = 4
/
ATOMIC_SPECIES
La 138.91 La.upf
Th 232.04 Th.upf
Tl 204.38 Tl.upf
In 114.82 In.upf
CELL_PARAMETERS angstrom
0.000 3.929 3.929
3.929 0.000 3.929
3.929 3.929 0.000
ATOMIC_POSITIONS crystal
La 0.000 0.000 0.000
Th 0.500 0.500 0.500
Tl 0.750 0.750 0.750
In 0.250 0.250 0.250
! Energy relative to the elements   -107 kJ/mol of formula units
! E_tot   -4.64 eV per atom

---

4.
! LaTmThIn, relaxed, DFT PBE; values from VASP
&SYSTEM
  ibrav = 0, nat = 4, ntyp = 4
/
ATOMIC_SPECIES
La 138.91 La.upf
Tm 168.93 Tm.upf
Th 232.04 Th.upf
In 114.82 In.upf
CELL_PARAMETERS angstrom
0.000 3.914 3.914
3.914 0.000 3.914
3.914 3.914 0.000
ATOMIC_POSITIONS crystal
La 0.000 0.000 0.000
Tm 0.500 0.500 0.500
Th 0.250 0.250 0.250
In 0.750 0.750 0.750
! Energy relative to the elements   -14 kJ/mol of formula units
! E_tot   -4.93 eV per atom

---

5.
! La2ThZn2In2, relaxed, DFT PBE; values from VASP
&SYSTEM
  ibrav = 0, nat = 7, ntyp = 4
/
ATOMIC_SPECIES
La 138.91 La.upf
Th 232.04 Th.upf
Zn 65.41 Zn.upf
In 114.82 In.upf
CELL_PARAMETERS angstrom
2.320 1.339 9.781
-2.320 1.339 9.781
0.000 -2.678 9.781
ATOMIC_POSITIONS crystal
La 0.138 0.138 0.138
La 0.862 0.862 0.862
Th 0.000 0.000 0.000
Zn 0.398 0.398 0.398
Zn 0.602 0.602 0.602
In 0.262 0.262 0.262
In 0.738 0.738 0.738
! Energy relative to the elements   -178 kJ/mol of formula units
! E_tot   -3.88 eV per atom

---

6.
! LaThZnIn, relaxed, DFT PBE; values from VASP
&SYSTEM
  ibrav = 0, nat = 4, ntyp = 4
/
ATOMIC_SPECIES
La 138.91 La.upf
Th 232.04 Th.upf
Zn 65.41 Zn.upf
In 114.82 In.upf
CELL_PARAMETERS angstrom
0.000 3.826 3.826
3.826 0.000 3.826
3.826 3.826 0.000
ATOMIC_POSITIONS crystal
La 0.000 0.000 0.000
Th 0.500 0.500 0.500
Zn 0.250 0.250 0.250
In 0.750 0.750 0.750
! Energy relative to the elements   -103 kJ/mol of formula units
! E_tot   -4.36 eV per atom

---

7.
! La3TiIn, relaxed, DFT PBE; values from VASP
&SYSTEM
  ibrav = 0, nat = 5, ntyp = 3
/
ATOMIC_SPECIES
La 138.91 La.upf
Ti 47.87 Ti.upf
In 114.82 In.upf
CELL_PARAMETERS angstrom
5.508 0.000 0.000
0.000 5.508 0.000
0.000 0.000 5.508
ATOMIC_POSITIONS crystal
La 0.000 0.000 0.500
La 0.000 0.500 0.000
La 0.500 0.000 0.000
Ti 0.000 0.000 0.000
In 0.500 0.500 0.500
! Energy relative to the elements   119 kJ/mol of formula units
! E_tot   -4.84 eV per atom

---

8.
! LaTi2In2, relaxed, DFT PBE; values from VASP
&SYSTEM
  ibrav = 0, nat = 10, ntyp = 3
/
ATOMIC_SPECIES
La 138.91 La.upf
Ti 47.87 Ti.upf
In 114.82 In.upf
CELL_PARAMETERS angstrom
8.620 0.000 0.000
0.000 8.620 0.000
0.000 0.000 3.078
ATOMIC_POSITIONS crystal
La 0.000 0.000 0.000
La 0.500 0.500 0.000
Ti 0.112 0.388 0.000
Ti 0.388 0.888 0.000
Ti 0.612 0.112 0.000
Ti 0.888 0.612 0.000
In 0.179 0.679 0.500
In 0.321 0.179 0.500
In 0.679 0.821 0.500
In 0.821 0.321 0.500
! Energy relative to the elements   -70 kJ/mol of formula units
! E_tot   -5.38 eV per atom

---

9.
! LaTi3In, relaxed, DFT PBE; values from VASP
&SYSTEM
  ibrav = 0, nat = 5, ntyp = 3
/
ATOMIC_SPECIES
La 138.91 La.upf
Ti 47.87 Ti.upf
In 114.82 In.upf
CELL_PARAMETERS angstrom
4.791 0.000 0.000
0.000 4.791 0.000
0.000 0.000 4.791
ATOMIC_POSITIONS crystal
La 0.000 0.000 0.000
Ti 0.000 0.000 0.500
Ti 0.000 0.500 0.000
Ti 0.500 0.000 0.000
In 0.500 0.500 0.500
! Energy relative to the elements   508 kJ/mol of formula units
! E_tot   -5.22 eV per atom

---

10.
! LaTi2In2, relaxed, DFT PBE; values from VASP
&SYSTEM
  ibrav = 0, nat = 5, ntyp = 3
/
ATOMIC_SPECIES
La 138.91 La.upf
Ti 47.87 Ti.upf
In 114.82 In.upf
CELL_PARAMETERS angstrom
-2.162 2.162 6.648
2.162 -2.162 6.648
2.162 2.162 -6.648
ATOMIC_POSITIONS crystal
La 0.000 0.000 0.000
Ti 0.250 0.750 0.500
Ti 0.750 0.250 0.500
In 0.392 0.392 0.000
In 0.608 0.608 0.000
! Energy relative to the elements   -59 kJ/mol of formula units
! E_tot   -5.36 eV per atom

---

11.
! LaTi3In, relaxed, DFT PBE; values from VASP
&SYSTEM
  ibrav = 0, nat = 5, ntyp = 3
/
ATOMIC_SPECIES
La 138.91 La.upf
Ti 47.87 Ti.upf
In 114.82 In.upf
CELL_PARAMETERS angstrom
5.163 0.000 0.000
0.000 5.163 0.000
0.000 0.000 5.163
ATOMIC_POSITIONS crystal
La 0.000 0.000 0.000
Ti 0.000 0.500 0.500
Ti 0.500 0.000 0.500
Ti 0.500 0.500 0.000
In 0.500 0.500 0.500
! Energy relative to the elements   415 kJ/mol of formula units
! E_tot   -5.41 eV per atom

---

12.
! LaTi2In2, relaxed, DFT PBE; values from VASP
&SYSTEM
  ibrav = 0, nat = 10, ntyp = 3
/
ATOMIC_SPECIES
La 138.91 La.upf
Ti 47.87 Ti.upf
In 114.82 In.upf
CELL_PARAMETERS angstrom
8.418 0.000 0.000
0.000 8.418 0.000
0.000 0.000 3.244
ATOMIC_POSITIONS crystal
La 0.000 0.000 0.000
La 0.500 0.500 0.000
Ti 0.173 0.327 0.500
Ti 0.327 0.827 0.500
Ti 0.673 0.173 0.500
Ti 0.827 0.673 0.500
In 0.124 0.624 0.000
In 0.376 0.124 0.000
In 0.624 0.876 0.000
In 0.876 0.376 0.000
! Energy relative to the elements   -21 kJ/mol of formula units
! E_tot   -5.28 eV per atom